Entry 1:
A geometry-optimized ScCrCu structure, computed with PBE-GGA.

Structure (POSCAR):
```
ScCrCu
1.0
-5.7434 2.2184 -0.3322
-6.1430 -0.4645 0.2447
-0.5700 0.6535 2.6341
Cr Cu Sc
1 1 1
Direct
0.9881 0.9881 0.0119
0.3471 0.3471 0.6529
0.6649 0.6649 0.3351
```

Calculated values
The calculation puts the formation energy at 0.9 eV/f.u. The raw total energy is -6.39 eV per atom. The value obtained for the energy above the lowest structure with this stoichiometry is 272 meV/atom.

Entry 2:
A geometry-optimized ScCrCu structure, computed with PBE-GGA.

Structure (POSCAR):
```
ScCrCu
1.0
-1.2372 3.4496 -2.1785
-4.8585 -3.2280 -2.3523
-4.0542 2.0540 5.5550
Sc Cr Cu
4 4 4
Direct
0.0000 0.5000 0.7480
0.5000 0.0000 0.2480
0.0000 0.0000 0.6407
0.5000 0.5000 0.1407
0.0000 0.3446 0.3637
0.0000 0.6554 0.3637
0.5000 0.8446 0.8637
0.5000 0.1554 0.8637
0.0000 0.7954 0.0359
0.0000 0.2046 0.0359
0.5000 0.2954 0.5359
0.5000 0.7046 0.5359
```

Calculated values
The calculation puts the formation energy at 0.4 eV/f.u. The raw total energy is -6.55 eV per atom. The value obtained for the energy above the lowest structure with this stoichiometry is 108 meV/atom.

Entry 3:
A geometry-optimized Sc2CrCu2 structure, computed with PBE-GGA.

Structure (POSCAR):
```
Sc2CrCu2
1.0
7.3258 0.0000 0.0000
0.0000 7.3258 0.0000
0.0000 0.0000 3.0717
Sc Cr Cu
4 2 4
Direct
0.3335 0.8335 0.0000
0.8335 0.6665 0.0000
0.6665 0.1665 0.0000
0.1665 0.3335 0.0000
0.0000 0.0000 0.0000
0.5000 0.5000 0.0000
0.1295 0.6295 0.5000
0.6295 0.8705 0.5000
0.8705 0.3705 0.5000
0.3705 0.1295 0.5000
```

Calculated values
The calculation puts the formation energy at 1.5 eV/f.u. The raw total energy is -5.80 eV per atom. The value obtained for the energy above the lowest structure with this stoichiometry is 98 meV/atom.

Entry 4:
A geometry-optimized Sc2CrCu2 structure, computed with PBE-GGA.

Structure (POSCAR):
```
Sc2CrCu2
1.0
5.0321 0.0000 0.0000
0.0000 5.0321 0.0000
2.5161 2.5161 3.7229
Sc Cr Cu
2 1 2
Direct
0.7500 0.2500 0.5000
0.2500 0.7500 0.5000
0.0000 0.0000 0.0000
0.3511 0.3511 0.2978
0.6489 0.6489 0.7022
```

Calculated values
The calculation puts the formation energy at 1.0 eV/f.u. The raw total energy is -5.90 eV per atom. The value obtained for the energy above the lowest structure with this stoichiometry is 0 meV/atom.

Entry 5:
A geometry-optimized ScCr2Cu structure, computed with PBE-GGA.

Structure (POSCAR):
```
ScCr2Cu
1.0
5.0757 0.0012 -0.0153
4.1760 2.8850 -0.0153
1.4450 0.4508 4.0337
Cr Cu Sc
2 1 1
Direct
0.0155 0.0155 0.9245
0.4845 0.4845 0.5755
0.7500 0.7500 0.7500
0.2500 0.2500 0.2500
```

Calculated values
The calculation puts the formation energy at 1.3 eV/f.u. The raw total energy is -7.08 eV per atom. The value obtained for the energy above the lowest structure with this stoichiometry is 207 meV/atom.

Entry 6:
A geometry-optimized ScCr2Cu structure, computed with PBE-GGA.

Structure (POSCAR):
```
ScCr2Cu
1.0
5.0138 -0.0121 0.0000
-2.4243 4.3888 0.0000
0.0000 0.0000 2.5391
Cr Cu Sc
2 1 1
Direct
0.0000 0.0000 0.0000
0.5000 0.5000 0.0000
0.5000 0.0000 0.5000
0.0000 0.5000 0.5000
```

Calculated values
The calculation puts the formation energy at 2.0 eV/f.u. The raw total energy is -6.93 eV per atom. The value obtained for the energy above the lowest structure with this stoichiometry is 364 meV/atom.

Entry 7:
A geometry-optimized ScCrCu structure, computed with PBE-GGA.

Structure (POSCAR):
```
ScCrCu
1.0
-1.5142 5.0069 -3.7640
-3.0251 -0.3726 0.7214
1.6093 3.6767 8.6471
Sc Cr Cu
4 4 4
Direct
0.7430 0.0000 0.9819
0.2570 0.0000 0.0181
0.7430 0.5000 0.4819
0.2570 0.5000 0.5181
0.9425 0.0000 0.3065
0.0575 0.0000 0.6935
0.9425 0.5000 0.8065
0.0575 0.5000 0.1935
0.6012 0.0000 0.6800
0.3988 0.0000 0.3200
0.6012 0.5000 0.1800
0.3988 0.5000 0.8200
```

Calculated values
The calculation puts the formation energy at 0.2 eV/f.u. The raw total energy is -6.60 eV per atom. The value obtained for the energy above the lowest structure with this stoichiometry is 61 meV/atom.

Entry 8:
A geometry-optimized ScCrCu structure, computed with PBE-GGA.

Structure (POSCAR):
```
ScCrCu
1.0
-1.9858 1.5418 1.5854
-0.9207 -2.0424 -1.9530
0.1908 -4.4895 4.6050
Cr Cu Sc
1 1 1
Direct
0.0000 0.0000 0.0107
0.6667 0.3333 0.3200
0.3333 0.6667 0.6693
```

Calculated values
The calculation puts the formation energy at 1.3 eV/f.u. The raw total energy is -6.23 eV per atom. The value obtained for the energy above the lowest structure with this stoichiometry is 427 meV/atom.

Entry 9:
A geometry-optimized ScCr4Cu structure, computed with PBE-GGA.

Structure (POSCAR):
```
ScCr4Cu
1.0
1.8587 2.0985 3.9815
-2.1195 -0.6878 4.3296
2.2024 -2.7218 3.3840
Sc Cr Cu
1 4 1
Direct
0.0000 0.0000 0.0000
0.8753 0.3749 0.3749
0.3749 0.3749 0.8753
0.3749 0.8753 0.3749
0.3749 0.3749 0.3749
0.7500 0.7500 0.7500
```

Calculated values
The calculation puts the formation energy at 1.8 eV/f.u. The raw total energy is -7.86 eV per atom.

Entry 10:
A geometry-optimized ScCr2Cu structure, computed with PBE-GGA.

Structure (POSCAR):
```
ScCr2Cu
1.0
-0.2605 4.2669 1.0880
-1.8010 -1.0496 3.8875
3.8568 -1.7598 -1.2191
Cr Cu Sc
2 1 1
Direct
0.0001 0.0001 0.0000
0.7499 0.2499 0.5000
0.4999 0.4999 0.0000
0.2500 0.7500 0.5000
```

Calculated values
The calculation puts the formation energy at 0.6 eV/f.u. The raw total energy is -7.26 eV per atom. The value obtained for the energy above the lowest structure with this stoichiometry is 25 meV/atom.

Entry 11:
A geometry-optimized Sc2CrCu2 structure, computed with PBE-GGA.

Structure (POSCAR):
```
Sc2CrCu2
1.0
7.2819 0.0000 0.0000
0.0000 7.2819 0.0000
0.0000 0.0000 3.1124
Sc Cr Cu
4 2 4
Direct
0.1785 0.6785 0.5000
0.6785 0.8215 0.5000
0.8215 0.3215 0.5000
0.3215 0.1785 0.5000
0.0000 0.0000 0.0000
0.5000 0.5000 0.0000
0.3792 0.8792 0.0000
0.8792 0.6208 0.0000
0.6208 0.1208 0.0000
0.1208 0.3792 0.0000
```

Calculated values
The calculation puts the formation energy at 1.0 eV/f.u. The raw total energy is -5.89 eV per atom. The value obtained for the energy above the lowest structure with this stoichiometry is 10 meV/atom.

Entry 12:
A geometry-optimized Sc2CrCuW structure, computed with PBE-GGA.

Structure (POSCAR):
```
Sc2CrCuW
1.0
-0.2241 -4.4459 -1.1390
3.1765 -0.9174 2.9558
-3.1987 -0.6664 3.2307
Sc Cr Cu W
2 1 1 1
Direct
0.0000 0.0000 0.5000
0.5000 0.0000 0.0000
0.0000 0.0000 0.0000
0.0000 0.5000 0.0000
0.5000 0.5000 0.5000
```

Calculated values
The calculation puts the formation energy at 6.3 eV/f.u. The raw total energy is -6.60 eV per atom.

Entry 13:
A geometry-optimized ScZn2CrCu structure, computed with PBE-GGA.

Structure (POSCAR):
```
ScZn2CrCu
1.0
-4.5745 1.5875 1.5821
1.2297 -0.9457 4.5047
1.8151 4.7335 0.4983
Sc Cr Zn Cu
1 1 2 1
Direct
0.0000 0.0000 0.0000
0.5000 0.5000 0.5000
0.0000 0.0000 0.5000
0.5000 0.0000 0.0000
0.0000 0.5000 0.0000
```

Calculated values
The calculation puts the formation energy at 5.8 eV/f.u. The raw total energy is -3.36 eV per atom.

Entry 14:
A geometry-optimized Cr2CuSe structure, computed with PBE-GGA.

Structure (POSCAR):
```
Cr2CuSe
1.0
4.1619 0.0000 0.0000
0.0000 4.1619 0.0000
2.0809 2.0809 8.3535
Cr Cu Se
4 2 2
Direct
0.6361 0.1250 0.2500
0.1139 0.6250 0.2500
0.3750 0.3639 0.7500
0.8750 0.8861 0.7500
0.5000 0.5000 0.0000
0.2500 0.7500 0.5000
0.0000 0.0000 0.0000
0.7500 0.2500 0.5000
```

Calculated values
The raw total energy is -6.04 eV per atom. The calculation puts the formation energy (no corrections) at 0.669 eV per atom.

Entry 15:
A geometry-optimized CrCu2Se structure, computed with PBE-GGA.

Structure (POSCAR):
```
CrCu2Se
1.0
3.4670 0.0000 0.0000
0.0000 3.4673 0.0000
0.0000 0.0000 5.0185
Cr Cu Se
1 2 1
Direct
0.5000 0.5000 0.7500
0.0000 0.0000 0.9932
0.0000 0.0000 0.5068
0.5000 0.5000 0.2500
```

Calculated values
The raw total energy is -5.14 eV per atom. The calculation puts the formation energy (no corrections) at 0.187 eV per atom.

Entry 16:
A geometry-optimized CrCu3Se structure, computed with PBE-GGA.

Structure (POSCAR):
```
CrCu3Se
1.0
-1.5449 -3.1919 2.9379
-2.6148 -1.8033 -3.3343
3.4616 -2.7867 -1.2074
Cr Cu Se
1 3 1
Direct
0.0000 0.0000 0.0000
0.0000 0.5000 0.0000
0.0000 0.0000 0.5000
0.5000 0.0000 0.0000
0.5000 0.5000 0.5000
```

Calculated values
The raw total energy is -3.84 eV per atom. The value obtained for the energy above the lowest structure with this stoichiometry is 452 meV/atom. The calculation puts the formation energy (no corrections) at 1.238 eV per atom.

Entry 17:
A geometry-optimized CrCuSe structure, computed with PBE-GGA.

Structure (POSCAR):
```
CrCuSe
1.0
-2.2953 -2.1493 2.3551
-0.4856 -2.6324 -2.8755
4.6614 -2.9158 1.8821
Cr Cu Se
2 2 2
Direct
0.0000 0.0000 0.5000
0.5000 0.5000 0.5000
0.0000 0.5000 0.8075
0.5000 0.0000 0.1925
0.0000 0.5000 0.2332
0.5000 0.0000 0.7668
```

Calculated values
The raw total energy is -5.70 eV per atom. The value obtained for the energy above the lowest structure with this stoichiometry is 39 meV/atom. The calculation puts the formation energy (no corrections) at 0.037 eV per atom.

Entry 18:
A geometry-optimized CrCuSe structure, computed with PBE-GGA.

Structure (POSCAR):
```
CrCuSe
1.0
3.8955 0.0000 0.0000
1.9478 3.3736 0.0000
1.9478 1.1245 8.9292
Cr Se Cu
2 2 2
Direct
0.5620 0.5620 0.3139
0.4380 0.4380 0.6861
0.2707 0.2707 0.1880
0.7293 0.7293 0.8120
0.8238 0.8238 0.5285
0.1762 0.1762 0.4715
```

Calculated values
The raw total energy is -5.74 eV per atom. The value obtained for the energy above the lowest structure with this stoichiometry is 0 meV/atom. The calculation puts the formation energy (no corrections) at -0.002 eV per atom.

Entry 19:
A geometry-optimized CrCu2Se structure, computed with PBE-GGA.

Structure (POSCAR):
```
CrCu2Se
1.0
4.3833 0.0000 0.0000
2.1917 3.7961 0.0000
2.1917 1.2654 3.5790
Cr Cu Se
1 2 1
Direct
0.5000 0.5000 0.5000
0.0000 0.0000 0.0000
0.7500 0.7500 0.7500
0.2500 0.2500 0.2500
```

Calculated values
The raw total energy is -5.02 eV per atom. The calculation puts the formation energy (no corrections) at 0.301 eV per atom.

Entry 20:
A geometry-optimized Cr2CuSe structure, computed with PBE-GGA.

Structure (POSCAR):
```
Cr2CuSe
1.0
4.5077 -0.0215 0.0000
1.1013 4.3712 0.0000
-2.8045 -2.1748 2.7793
Cr Cu Se
2 1 1
Direct
0.0000 0.0000 0.0000
0.5000 0.5000 0.0000
0.2500 0.7500 0.5000
0.7500 0.2500 0.5000
```

Calculated values
The raw total energy is -6.30 eV per atom. The calculation puts the formation energy (no corrections) at 0.404 eV per atom.

Entry 21:
A geometry-optimized CrCuSe structure, computed with PBE-GGA.

Structure (POSCAR):
```
CrCuSe
1.0
4.1951 0.0000 0.0000
2.0976 3.6331 0.0000
2.0976 1.2110 3.4253
Cr Cu Se
1 1 1
Direct
0.7500 0.7500 0.7500
0.0000 0.0000 0.0000
0.5000 0.5000 0.5000
```

Calculated values
The raw total energy is -5.56 eV per atom. The value obtained for the energy above the lowest structure with this stoichiometry is 181 meV/atom. The calculation puts the formation energy (no corrections) at 0.179 eV per atom.

Entry 22:
A geometry-optimized CrCu2Se structure, computed with PBE-GGA.

Structure (POSCAR):
```
CrCu2Se
1.0
2.7828 0.0000 0.0000
0.0000 2.7828 0.0000
0.0000 0.0000 7.9305
Cr Cu Se
1 2 1
Direct
0.5000 0.5000 0.7500
0.0000 0.0000 0.9716
0.0000 0.0000 0.5284
0.5000 0.5000 0.2500
```

Calculated values
The raw total energy is -4.88 eV per atom. The calculation puts the formation energy (no corrections) at 0.442 eV per atom.

Entry 23:
A geometry-optimized CrCu2Se structure, computed with PBE-GGA.

Structure (POSCAR):
```
CrCu2Se
1.0
3.6866 -0.0077 -0.0232
-1.8464 5.1459 0.1183
-0.0062 1.0966 3.2826
Cr Cu Se
1 2 1
Direct
0.5000 0.5000 0.0000
0.0000 0.0000 0.0000
0.5000 0.0000 0.5000
0.0000 0.5000 0.5000
```

Calculated values
The raw total energy is -5.07 eV per atom. The calculation puts the formation energy (no corrections) at 0.259 eV per atom.

Entry 24:
A geometry-optimized Cr2CuSe2 structure, computed with PBE-GGA.

Structure (POSCAR):
```
Cr2CuSe2
1.0
-2.4405 -1.6087 1.7804
2.3932 -1.4476 1.9725
-0.3855 3.9828 6.3600
Cr Cu Se
2 1 2
Direct
0.7500 0.2500 0.5000
0.2500 0.7500 0.5000
0.0000 0.0000 0.0000
0.3761 0.3761 0.2479
0.6239 0.6239 0.7521
```

Calculated values
The raw total energy is -5.89 eV per atom. The value obtained for the energy above the lowest structure with this stoichiometry is 63 meV/atom. The calculation puts the formation energy (no corrections) at 0.168 eV per atom.

Entry 25:
A geometry-optimized Cr2CuSe structure, computed with PBE-GGA.

Structure (POSCAR):
```
Cr2CuSe
1.0
5.2546 0.2861 0.0000
2.4380 4.6636 0.0000
-3.8463 -2.4749 2.6026
Cr Cu Se
2 1 1
Direct
0.0000 0.0000 0.0000
0.2500 0.7500 0.5000
0.5000 0.5000 0.0000
0.7500 0.2500 0.5000
```

Calculated values
The raw total energy is -6.27 eV per atom. The calculation puts the formation energy (no corrections) at 0.436 eV per atom.

Entry 26:
A geometry-optimized CrCu2Se structure, computed with PBE-GGA.

Structure (POSCAR):
```
CrCu2Se
1.0
3.6635 0.0000 0.0000
0.0000 3.6917 0.0000
0.0000 0.0000 4.3324
Cr Cu Se
1 2 1
Direct
0.0000 0.5000 0.5000
0.0000 0.0000 0.0000
0.5000 0.5000 0.0000
0.5000 0.0000 0.5000
```

Calculated values
The raw total energy is -5.16 eV per atom. The calculation puts the formation energy (no corrections) at 0.163 eV per atom.

Entry 27:
A geometry-optimized CrCuSe4 structure, computed with PBE-GGA.

Structure (POSCAR):
```
CrCuSe4
1.0
3.2505 -4.2097 1.9351
-2.3607 -4.8806 1.6245
0.7307 -4.6707 -3.1116
Cr Cu Se
1 1 4
Direct
0.7500 0.7500 0.7500
0.0000 0.0000 0.0000
0.8755 0.3748 0.3748
0.3748 0.3748 0.8755
0.3748 0.8755 0.3748
0.3748 0.3748 0.3748
```

Calculated values
The raw total energy is -3.81 eV per atom. The calculation puts the formation energy (no corrections) at 0.795 eV per atom.

Entry 28:
A geometry-optimized CrCu2Se structure, computed with PBE-GGA.

Structure (POSCAR):
```
CrCu2Se
1.0
4.7969 -0.0075 -0.0366
1.7119 4.4810 0.0366
-3.1241 -2.4263 2.7137
Cr Cu Se
1 2 1
Direct
0.2580 0.7580 0.5000
0.0030 0.0030 0.0000
0.7434 0.2434 0.5000
0.4955 0.4955 0.0000
```

Calculated values
The raw total energy is -5.06 eV per atom. The calculation puts the formation energy (no corrections) at 0.270 eV per atom.